Entry from the Alexandria database: an optimized crystal structure of BaTeC3 (PBE).

Lattice parameters (Å, degrees): 4.3991 4.3991 4.3991 90.00 90.00 90.00
Fractional positions:
1 Ba 0.0000 0.0000 0.0000
2 Te 0.5000 0.5000 0.5000
3 C 0.0000 0.5000 0.5000
4 C 0.5000 0.0000 0.5000
5 C 0.5000 0.5000 0.0000

Computed properties:
calculated volume = 85.1 Å³ per cell
formation energy without anion corrections = 996.9 kJ/mol of formula units
final energy = -4.481 eV/atom
total magnetization = 0.0 μB per formula unit
polymorph energy (0 for the lowest one) = 0 meV per atom